Density functional theory data (GGA-PBEsol) for a relaxed structure of CaCoRh2.

POSCAR file:
```
CaCoRh2
1.0
1.416 0.817 8.641
-1.416 0.817 8.641
0.000 -1.635 8.641
Ca Co Rh
1 1 2
Direct
0.000 0.000 0.000 Ca
0.500 0.500 0.500 Co
0.242 0.242 0.242 Rh
0.758 0.758 0.758 Rh
```

Values from the calculation:
**Space group**: No. 166
**Energy relative to the lowest polymorph listed for this composition**: 0.154 eV per atom
**Formation energy**: 343 meV per atom
**Fermi-level density of states**: 4.4 states/eV/f.u.
**E_tot**: -6.19 eV/atom
**Calculated volume**: 60.0 Å³/f.u.

---

Density functional theory data (GGA-PBEsol) for a relaxed structure of SrTi2Pt2.

POSCAR file:
```
SrTi2Pt2
1.0
-2.200 2.200 5.253
2.200 -2.200 5.253
2.200 2.200 -5.253
Sr Ti Pt
1 2 2
Direct
0.000 0.000 0.000 Sr
0.250 0.750 0.500 Ti
0.750 0.250 0.500 Ti
0.372 0.372 0.000 Pt
0.628 0.628 0.000 Pt
```

Values from the calculation:
**Space group**: No. 139
**Formation energy**: -727 meV per atom
**Fermi-level density of states**: 2.7 states/eV/f.u.
**E_tot**: -7.21 eV/atom
**Calculated volume**: 101.7 Å³/f.u.

---

Density functional theory data (GGA-PBEsol) for a relaxed structure of YTa2Au.

POSCAR file:
```
YTa2Au
1.0
3.347 0.000 0.000
0.000 4.596 0.000
0.000 0.000 5.047
Y Ta Au
1 2 1
Direct
0.000 0.000 0.000 Y
0.000 0.500 0.500 Ta
0.500 0.000 0.500 Ta
0.500 0.500 0.000 Au
```

Values from the calculation:
**Space group**: No. 47
**Energy relative to the lowest polymorph listed for this composition**: 0.000 eV per atom
**Formation energy**: 78 meV per atom
**Fermi-level density of states**: 3.9 states/eV/f.u.
**E_tot**: -8.88 eV/atom
**Calculated volume**: 77.6 Å³/f.u.

---

Density functional theory data (GGA-PBEsol) for a relaxed structure of CdNiRu2.

POSCAR file:
```
CdNiRu2
1.0
4.373 -1.358 0.000
4.373 1.358 0.000
-0.785 0.000 4.739
Cd Ni Ru
1 1 2
Direct
0.000 0.000 0.000 Cd
0.247 0.247 0.768 Ni
0.505 0.505 0.502 Ru
0.760 0.760 0.322 Ru
```

Values from the calculation:
**Space group**: No. 8
**Formation energy**: 312 meV per atom
**Fermi-level density of states**: 4.7 states/eV/f.u.
**E_tot**: -6.61 eV/atom
**Calculated volume**: 56.3 Å³/f.u.

---

Density functional theory data (GGA-PBEsol) for a relaxed structure of Ag3Os.

POSCAR file:
```
Ag3Os
1.0
-1.324 4.712 2.516
1.324 -4.712 2.516
1.324 4.712 -2.516
Ag Os
3 1
Direct
0.000 0.000 0.000 Ag
0.069 0.314 0.754 Ag
0.560 0.314 0.246 Ag
0.505 0.005 0.500 Os
```

Values from the calculation:
**Space group**: No. 44
**Energy relative to the lowest polymorph listed for this composition**: 0.014 eV per atom
**Formation energy**: 517 meV per atom
**Fermi-level density of states**: 2.6 states/eV/f.u.
**E_tot**: -5.02 eV/atom
**Calculated volume**: 62.8 Å³/f.u.

---

Density functional theory data (GGA-PBEsol) for a relaxed structure of CaTmPd2.

POSCAR file:
```
CaTmPd2
1.0
0.000 3.420 3.420
3.420 0.000 3.420
3.420 3.420 0.000
Ca Tm Pd
1 1 2
Direct
0.000 0.000 0.000 Ca
0.500 0.500 0.500 Tm
0.250 0.250 0.250 Pd
0.750 0.750 0.750 Pd
```

Values from the calculation:
**Space group**: No. 225
**Formation energy**: -765 meV per atom
**Fermi-level density of states**: 2.0 states/eV/f.u.
**E_tot**: -5.50 eV/atom
**Calculated volume**: 80.0 Å³/f.u.

---

Density functional theory data (GGA-PBEsol) for a relaxed structure of Na2PIrN.

POSCAR file:
```
Na2PIrN
1.0
4.616 0.000 0.000
0.000 4.616 0.000
0.000 0.000 3.727
Na P Ir N
2 1 1 1
Direct
0.000 0.500 0.000 Na
0.500 0.000 0.000 Na
0.000 0.000 0.500 P
0.500 0.500 0.500 Ir
0.500 0.500 0.000 N
```

Values from the calculation:
**Space group**: No. 123
**Formation energy without anion corrections**: 0.161 eV per atom
**Fermi-level density of states**: 2.9 states/eV/f.u.
**E_tot**: -5.23 eV/atom
**Calculated volume**: 79.4 Å³/f.u.

---

Density functional theory data (GGA-PBEsol) for a relaxed structure of Fe2PtCl.

POSCAR file:
```
Fe2PtCl
1.0
2.805 0.000 0.000
0.000 3.647 0.000
0.000 0.000 6.407
Fe Pt Cl
2 1 1
Direct
0.000 0.000 0.191 Fe
0.000 0.000 0.809 Fe
0.500 0.500 0.000 Pt
0.500 0.000 0.500 Cl
```

Values from the calculation:
**Space group**: No. 47
**Energy relative to the lowest polymorph listed for this composition**: 0.000 eV per atom
**Formation energy without anion corrections**: 0.028 eV per atom
**Fermi-level density of states**: 1.3 states/eV/f.u.
**E_tot**: -6.70 eV/atom
**Calculated volume**: 65.5 Å³/f.u.

---

Density functional theory data (GGA-PBEsol) for a relaxed structure of CrIr2Br.

POSCAR file:
```
CrIr2Br
1.0
-1.381 2.237 5.002
1.381 -2.237 5.002
1.381 2.237 -5.002
Cr Ir Br
1 2 1
Direct
0.000 0.000 0.000 Cr
0.222 0.722 0.500 Ir
0.778 0.278 0.500 Ir
0.500 0.500 0.000 Br
```

Values from the calculation:
**Space group**: No. 71
**Formation energy without anion corrections**: 0.631 eV per atom
**Fermi-level density of states**: 3.7 states/eV/f.u.
**E_tot**: -7.31 eV/atom
**Calculated volume**: 61.8 Å³/f.u.

---

Density functional theory data (GGA-PBEsol) for a relaxed structure of Ni2PtRh.

POSCAR file:
```
Ni2PtRh
1.0
4.235 -1.321 0.000
4.235 1.321 0.000
-0.821 0.000 4.504
Ni Pt Rh
2 1 1
Direct
0.249 0.249 0.242 Ni
0.751 0.751 0.758 Ni
0.000 0.000 0.500 Pt
0.500 0.500 0.000 Rh
```

Values from the calculation:
**Space group**: No. 12
**Formation energy**: -3 meV per atom
**Fermi-level density of states**: 6.1 states/eV/f.u.
**E_tot**: -6.86 eV/atom
**Calculated volume**: 50.4 Å³/f.u.

---

Density functional theory data (GGA-PBEsol) for a relaxed structure of ZnRe2Hg.

POSCAR file:
```
ZnRe2Hg
1.0
4.704 -1.412 0.000
4.704 1.412 0.000
-0.931 0.000 4.679
Zn Re Hg
1 2 1
Direct
0.000 0.000 0.000 Zn
0.256 0.256 0.765 Re
0.744 0.744 0.235 Re
0.500 0.500 0.500 Hg
```

Values from the calculation:
**Space group**: No. 12
**Energy relative to the lowest polymorph listed for this composition**: 0.000 eV per atom
**Formation energy**: 556 meV per atom
**Fermi-level density of states**: 3.5 states/eV/f.u.
**E_tot**: -6.65 eV/atom
**Calculated volume**: 62.1 Å³/f.u.

---

Density functional theory data (GGA-PBEsol) for a relaxed structure of Nb2SnC.

POSCAR file:
```
Nb2SnC
1.0
0.000 3.150 3.150
3.150 0.000 3.150
3.150 3.150 0.000
Nb Sn C
2 1 1
Direct
0.250 0.250 0.250 Nb
0.750 0.750 0.750 Nb
0.000 0.000 0.000 Sn
0.500 0.500 0.500 C
```

Values from the calculation:
**Space group**: No. 225
**Energy relative to the lowest polymorph listed for this composition**: 1.445 eV per atom
**Formation energy**: 953 meV per atom
**Fermi-level density of states**: 3.1 states/eV/f.u.
**E_tot**: -7.93 eV/atom
**Calculated volume**: 62.5 Å³/f.u.